Record 1
CuNi7Pt4 | PBE-GGA | relaxed

Magnetic moment (μB per cell): 5.57
Calculated formation energy (eV per atom): 0.187
DFT total energy (eV per cell): -66.48

a b c (Å): 4.984 4.984 8.984
angles (deg): 111.42 111.42 52.49
Fractional coordinates of all 12 atoms:
Cu 0.000 0.000 0.000
Ni 0.127 0.127 0.473
Ni 0.283 0.283 0.084
Ni 0.348 0.348 0.383
Ni 0.500 0.500 0.000
Ni 0.652 0.652 0.617
Ni 0.717 0.717 0.916
Ni 0.873 0.873 0.527
Pt 0.140 0.140 0.773
Pt 0.410 0.410 0.698
Pt 0.590 0.590 0.302
Pt 0.860 0.860 0.227

=====

Record 2
CsGa2NiHg | PBE-GGA | relaxed

Magnetic moment (μB per cell): 0.00
Calculated formation energy (eV per atom): -0.049
DFT total energy (eV per cell): -13.24

a b c (Å): 4.840 4.840 5.384
angles (deg): 90.00 90.00 90.00
Fractional coordinates of all 5 atoms:
Cs 0.000 0.000 0.000
Ga 0.000 0.500 0.500
Ga 0.500 0.000 0.500
Ni 0.500 0.500 0.500
Hg 0.500 0.500 0.000

=====

Record 3
K2PuMgO6 | PBE-GGA | relaxed

E_form (uncorrected) (eV per atom): -2.1376
Magnetic moment (μB per cell): 0.05
DFT total energy (eV per cell): -69.25

a b c (Å): 5.847 5.847 5.847
angles (deg): 60.00 60.00 60.00
Fractional coordinates of all 10 atoms:
K 0.250 0.250 0.250
K 0.750 0.750 0.750
Pu 0.000 0.000 0.000
Mg 0.500 0.500 0.500
O 0.240 0.240 0.760
O 0.240 0.760 0.240
O 0.240 0.760 0.760
O 0.760 0.240 0.240
O 0.760 0.240 0.760
O 0.760 0.760 0.240

=====

Record 4
CsNpCoBr6 | PBE-GGA | relaxed

E_form (uncorrected) (eV per atom): -1.1068
Magnetic moment (μB per cell): 1.00
DFT total energy (eV per cell): -40.90

a b c (Å): 6.991 6.991 8.420
angles (deg): 90.04 90.04 120.04
Fractional coordinates of all 9 atoms:
Cs 0.000 0.000 0.000
Np 0.334 0.666 0.500
Co 0.667 0.333 0.500
Br 0.371 0.022 0.314
Br 0.372 0.349 0.686
Br 0.651 0.628 0.314
Br 0.652 0.023 0.686
Br 0.977 0.348 0.314
Br 0.978 0.629 0.686

=====

Record 5
NdSm2Dy | PBE-GGA | relaxed

Energy relative to the lowest polymorph listed for this composition (kJ per mole of atoms): 0.0
Magnetic moment (μB per cell): 0.00
Calculated formation energy (eV per atom): 0.015
DFT total energy (eV per cell): -37.49

a b c (Å): 5.126 5.126 10.218
angles (deg): 90.00 90.00 90.00
Fractional coordinates of all 8 atoms:
Nd 0.000 0.000 0.000
Nd 0.500 0.500 0.500
Sm 0.000 0.000 0.500
Sm 0.000 0.500 0.250
Sm 0.500 0.000 0.750
Sm 0.500 0.500 0.000
Dy 0.000 0.500 0.750
Dy 0.500 0.000 0.250

=====

Record 6
CdIn2Te | PBE-GGA | relaxed

Energy relative to the lowest polymorph listed for this composition (kJ per mole of atoms): 16.5
E_form (uncorrected) (eV per atom): 0.0510
Magnetic moment (μB per cell): 0.00
DFT total energy (eV per cell): -37.32

a b c (Å): 7.730 7.730 7.730
angles (deg): 90.00 90.00 90.00
Fractional coordinates of all 16 atoms:
Cd 0.000 0.000 0.000
Cd 0.000 0.500 0.500
Cd 0.500 0.000 0.500
Cd 0.500 0.500 0.000
In 0.000 0.000 0.500
In 0.000 0.500 0.000
In 0.250 0.250 0.750
In 0.250 0.750 0.250
In 0.500 0.000 0.000
In 0.500 0.500 0.500
In 0.750 0.250 0.250
In 0.750 0.750 0.750
Te 0.250 0.250 0.250
Te 0.250 0.750 0.750
Te 0.750 0.250 0.750
Te 0.750 0.750 0.250